No. 1
DFT (PBE) results for a relaxed TbMgAlPd crystal.

- DOS(E_F): 1.52 states/eV/cell
- VASP energy: -4.3175 eV/atom
- Space-group type: F-43m

Unit cell a=4.848 b=4.848 c=4.848 alpha=60.00 beta=60.00 gamma=60.00
Positions (direct):
Mg1 0.250 0.250 0.250
Tb1 0.750 0.750 0.750
Al1 0.000 0.000 0.000
Pd1 0.500 0.500 0.500

***

No. 2
DFT (PBE) results for a relaxed KEuHgAu crystal.

- DOS(E_F): 9.31 states/eV/cell
- VASP energy: -4.0894 eV/atom
- Space-group type: F-43m

Unit cell a=5.530 b=5.530 c=5.530 alpha=60.00 beta=60.00 gamma=60.00
Positions (direct):
Eu1 0.000 0.000 0.000
K1 0.500 0.500 0.500
Au1 0.750 0.750 0.750
Hg1 0.250 0.250 0.250